(1)
Here is crystalline BeSiI2O at its relaxed geometry from the Alexandria database. Energies are from PBE.

Lattice parameters (Å, degrees): 6.4255 6.4255 2.9262 90.00 90.00 90.00
Closest atoms and distances in Å follow each position.
Element x y z (fractional)
Be 0.0000 0.0000 0.0000  2 O 1.46
Si 0.5000 0.5000 0.5000  2 Si 2.93
I 0.0000 0.5000 0.0000  2 I 2.93, 2 Be 3.21
I 0.5000 0.0000 0.0000  2 I 2.93, 2 Be 3.21
O 0.0000 0.0000 0.5000  2 Be 1.46

Summary:
* symmetry: P4/mmm
* M_tot: 0.00 μB/atom
* E_form (uncorrected): -379 meV per atom
* ρ: 4.2 g/cm³
* VASP energy: -19.1 eV/f.u.
* excess energy over the best structure of this formula in the dataset: 0.000 eV/atom


(2)
Here is crystalline BeSnI2O at its relaxed geometry from the Alexandria database. Energies are from PBE.

Lattice parameters (Å, degrees): 6.8068 6.8068 2.9650 90.00 90.00 90.00
Closest atoms and distances in Å follow each position.
Element x y z (fractional)
Be 0.0000 0.0000 0.0000  2 O 1.48
Sn 0.5000 0.5000 0.5000  2 Sn 2.97
I 0.0000 0.5000 0.0000  2 I 2.97
I 0.5000 0.0000 0.0000  2 I 2.97
O 0.0000 0.0000 0.5000  2 Be 1.48

Summary:
* symmetry: P4/mmm
* M_tot: 0.00 μB/atom
* E_form (uncorrected): -705 meV per atom
* ρ: 4.8 g/cm³
* VASP energy: -19.3 eV/f.u.
* excess energy over the best structure of this formula in the dataset: 0.000 eV/atom


(3)
Here is crystalline BeSnI2O at its relaxed geometry from the Alexandria database. Energies are from PBE.

Lattice parameters (Å, degrees): 6.0364 6.0364 4.0220 90.00 90.00 90.00
Closest atoms and distances in Å follow each position.
Element x y z (fractional)
Be 0.0000 0.0000 0.0000  8 I 3.63, 2 Be 4.02
Sn 0.5000 0.5000 0.5000  2 O 2.01
I 0.0000 0.5000 0.5000  2 Sn 3.02
I 0.5000 0.0000 0.5000  2 Sn 3.02
O 0.5000 0.5000 0.0000  2 Sn 2.01

Summary:
* symmetry: P4/mmm
* M_tot: 0.09 μB/atom
* E_form (uncorrected): 208 meV per atom
* ρ: 4.5 g/cm³
* VASP energy: -14.7 eV/f.u.
* excess energy over the best structure of this formula in the dataset: 0.914 eV/atom


(4)
Here is crystalline SrBeIO2 at its relaxed geometry from the Alexandria database. Energies are from PBE.

Lattice parameters (Å, degrees): 4.2111 4.2111 4.9473 90.00 90.00 90.00
Closest atoms and distances in Å follow each position.
Element x y z (fractional)
Sr 0.0000 0.0000 0.0000  4 I 2.98, 8 O 3.25
Be 0.5000 0.5000 0.5000  4 O 2.11
I 0.5000 0.5000 0.0000  2 Be 2.47
O 0.0000 0.5000 0.5000  2 Be 2.11
O 0.5000 0.0000 0.5000  2 Be 2.11

Summary:
* symmetry: P4/mmm
* M_tot: 0.20 μB/atom
* E_form (uncorrected): -844 meV per atom
* ρ: 4.8 g/cm³
* VASP energy: -21.1 eV/f.u.
* excess energy over the best structure of this formula in the dataset: 0.000 eV/atom


(5)
Here is crystalline SrBeI2O at its relaxed geometry from the Alexandria database. Energies are from PBE.

Lattice parameters (Å, degrees): 6.4077 6.4077 4.2934 90.00 90.00 90.00
Closest atoms and distances in Å follow each position.
Element x y z (fractional)
Sr 0.0000 0.0000 0.0000  2 O 2.15
Be 0.5000 0.5000 0.5000  8 I 3.86, 2 Be 4.29
I 0.0000 0.5000 0.0000  2 Sr 3.20
I 0.5000 0.0000 0.0000  2 Sr 3.20
O 0.0000 0.0000 0.5000  2 Sr 2.15

Summary:
* symmetry: P4/mmm
* M_tot: 0.00 μB/atom
* E_form (uncorrected): -55 meV per atom
* ρ: 3.5 g/cm³
* VASP energy: -13.7 eV/f.u.
* excess energy over the best structure of this formula in the dataset: 1.057 eV/atom


(6)
Here is crystalline SrBeIO2 at its relaxed geometry from the Alexandria database. Energies are from PBE.

Lattice parameters (Å, degrees): 4.4778 4.4778 7.0266 90.00 90.00 90.00
Closest atoms and distances in Å follow each position.
Element x y z (fractional)
Sr 0.0000 0.0000 0.0000  4 O 2.24
Be 0.5000 0.5000 0.5000  4 I 3.17
I 0.0000 0.0000 0.5000  4 Be 3.17, 2 Sr 3.51
O 0.0000 0.5000 0.0000  2 Sr 2.24
O 0.5000 0.0000 0.0000  2 Sr 2.24

Summary:
* symmetry: P4/mmm
* M_tot: 0.37 μB/atom
* E_form (uncorrected): -45 meV per atom
* ρ: 3.0 g/cm³
* VASP energy: -17.1 eV/f.u.
* excess energy over the best structure of this formula in the dataset: 0.800 eV/atom


| no. | V (Å³ per cell) |
| --- | --- |
| 1 | 121 |
| 2 | 137 |
| 3 | 147 |
| 4 | 88 |
| 5 | 176 |
| 6 | 141 |